(1)
NaTePd2 | GGA-PBE | optimized geometry

Summary:
ΔE_f (raw)	-0.317	eV/atom
total moment	0.00	μB per formula unit
uncorrected energy	-16.12	eV per cell

```
data_NaTePd2
_chemical_formula_sum 'Na1 Te1 Pd2'
_cell_length_a 4.455
_cell_length_b 4.455
_cell_length_c 3.744
_cell_angle_alpha 90.00
_cell_angle_beta 90.00
_cell_angle_gamma 90.00
_symmetry_space_group_name_H-M 'P 4/m m m'
_symmetry_Int_Tables_number 123
_symmetry_space_group_name_Hall '-P 4 2'
loop_
_atom_site_label
_atom_site_type_symbol
_atom_site_fract_x
_atom_site_fract_y
_atom_site_fract_z
Na1 Na 0.000 0.000 0.000
Te1 Te 0.500 0.500 0.000
Pd1 Pd 0.000 0.500 0.500
```


(2)
NaTePd2 | GGA-PBE | optimized geometry

Summary:
ΔE_f (raw)	-0.424	eV/atom
total moment	0.00	μB per formula unit
uncorrected energy	-66.18	eV per cell

```
data_NaTePd2
_chemical_formula_sum 'Na4 Te4 Pd8'
_cell_length_a 7.827
_cell_length_b 7.319
_cell_length_c 5.957
_cell_angle_alpha 90.00
_cell_angle_beta 90.00
_cell_angle_gamma 90.00
_symmetry_space_group_name_H-M 'P n m a'
_symmetry_Int_Tables_number 62
loop_
_symmetry_equiv_pos_as_xyz
'x,y,z'
'-x,-y,-z'
'-x+1/2,-y,z+1/2'
'x+1/2,y,-z+1/2'
'x+1/2,-y+1/2,-z+1/2'
'-x+1/2,y+1/2,z+1/2'
'-x,y+1/2,-z'
'x,-y+1/2,z'
loop_
_atom_site_label
_atom_site_type_symbol
_atom_site_fract_x
_atom_site_fract_y
_atom_site_fract_z
Na1 Na 0.026 0.250 0.145
Te1 Te 0.128 0.750 0.348
Pd1 Pd 0.167 0.052 0.585
```


(3)
NaTePd3 | GGA-PBE | optimized geometry

Summary:
ΔE_f (raw)	-0.285	eV/atom
total moment	0.00	μB per formula unit
uncorrected energy	-85.86	eV per cell

```
data_NaTePd3
_chemical_formula_sum 'Na4 Te4 Pd12'
_cell_length_a 5.533
_cell_length_b 7.844
_cell_length_c 9.109
_cell_angle_alpha 90.00
_cell_angle_beta 90.00
_cell_angle_gamma 90.00
_symmetry_space_group_name_H-M 'I m m a'
_symmetry_Int_Tables_number 74
_symmetry_space_group_name_Hall '-I 2b 2'
loop_
_atom_site_label
_atom_site_type_symbol
_atom_site_fract_x
_atom_site_fract_y
_atom_site_fract_z
Na1 Na 0.000 0.250 0.000
Te1 Te 0.000 0.000 0.500
Pd1 Pd 0.000 0.250 0.311
Pd2 Pd 0.250 0.065 0.750
```


(4)
Na2TePd2 | GGA-PBE | optimized geometry

Summary:
ΔE_f (raw)	-0.357	eV/atom
total moment	0.00	μB per formula unit
uncorrected energy	-35.90	eV per cell

```
data_Na2TePd2
_chemical_formula_sum 'Na4 Te2 Pd4'
_cell_length_a 6.916
_cell_length_b 6.916
_cell_length_c 4.700
_cell_angle_alpha 90.00
_cell_angle_beta 90.00
_cell_angle_gamma 90.00
_symmetry_space_group_name_H-M 'P 4/m b m'
_symmetry_Int_Tables_number 127
_symmetry_space_group_name_Hall '-P 4 2ab'
loop_
_atom_site_label
_atom_site_type_symbol
_atom_site_fract_x
_atom_site_fract_y
_atom_site_fract_z
Na1 Na 0.166 0.334 0.000
Te1 Te 0.000 0.000 0.500
Pd1 Pd 0.145 0.645 0.500
```


(5)
Na2Te2Pd3 | GGA-PBE | optimized geometry

Summary:
ΔE_f (raw)	-0.451	eV/atom
total moment	0.00	μB per formula unit
uncorrected energy	-55.32	eV per cell

```
data_Na2Te2Pd3
_chemical_formula_sum 'Na4 Te4 Pd6'
_cell_length_a 11.009
_cell_length_b 4.500
_cell_length_c 7.018
_cell_angle_alpha 90.00
_cell_angle_beta 111.24
_cell_angle_gamma 90.00
_symmetry_space_group_name_H-M 'C 1 2/m 1'
_symmetry_Int_Tables_number 12
loop_
_symmetry_equiv_pos_as_xyz
'x,y,z'
'-x,-y,-z'
'-x,y,-z'
'x,-y,z'
'x+1/2,y+1/2,z'
'-x+1/2,-y+1/2,-z'
'-x+1/2,y+1/2,-z'
'x+1/2,-y+1/2,z'
loop_
_atom_site_label
_atom_site_type_symbol
_atom_site_fract_x
_atom_site_fract_y
_atom_site_fract_z
Na1 Na 0.127 0.000 0.244
Te1 Te 0.145 0.000 0.715
Pd1 Pd 0.000 0.500 0.500
Pd2 Pd 0.154 0.500 0.922
```


(6)
NaTePd | GGA-PBE | optimized geometry

Summary:
ΔE_f (raw)	-0.488	eV/atom
total moment	0.00	μB per formula unit
uncorrected energy	-44.46	eV per cell

```
data_NaTePd
_chemical_formula_sum 'Na4 Te4 Pd4'
_cell_length_a 6.519
_cell_length_b 6.519
_cell_length_c 6.519
_cell_angle_alpha 90.00
_cell_angle_beta 90.00
_cell_angle_gamma 90.00
_symmetry_space_group_name_H-M 'F -4 3 m'
_symmetry_Int_Tables_number 216
_symmetry_space_group_name_Hall 'F -4 2 3'
loop_
_atom_site_label
_atom_site_type_symbol
_atom_site_fract_x
_atom_site_fract_y
_atom_site_fract_z
Na1 Na 0.000 0.000 0.000
Te1 Te 0.000 0.000 0.500
Pd1 Pd 0.250 0.250 0.750
```


(7)
NaTe2Pd3 | GGA-PBE | optimized geometry

Summary:
ΔE_f (raw)	-0.448	eV/atom
total moment	0.00	μB per formula unit
uncorrected energy	-155.23	eV per cell

```
data_NaTe2Pd3
_chemical_formula_sum 'Na6 Te12 Pd18'
_cell_length_a 18.026
_cell_length_b 4.289
_cell_length_c 10.512
_cell_angle_alpha 90.00
_cell_angle_beta 106.91
_cell_angle_gamma 90.00
_symmetry_space_group_name_H-M 'C 1 2/m 1'
_symmetry_Int_Tables_number 12
loop_
_symmetry_equiv_pos_as_xyz
'x,y,z'
'-x,-y,-z'
'-x,y,-z'
'x,-y,z'
'x+1/2,y+1/2,z'
'-x+1/2,-y+1/2,-z'
'-x+1/2,y+1/2,-z'
'x+1/2,-y+1/2,z'
loop_
_atom_site_label
_atom_site_type_symbol
_atom_site_fract_x
_atom_site_fract_y
_atom_site_fract_z
Na1 Na 0.000 0.000 0.000
Na2 Na 0.165 0.000 0.714
Te1 Te 0.042 0.500 0.777
Te2 Te 0.137 0.500 0.456
Te3 Te 0.194 0.000 0.128
Pd1 Pd 0.000 0.500 0.500
Pd2 Pd 0.051 0.000 0.318
Pd3 Pd 0.118 0.500 0.190
Pd4 Pd 0.182 0.500 0.966
Pd5 Pd 0.218 0.000 0.394
```


(8)
NaTe2Pd2 | GGA-PBE | optimized geometry

Summary:
ΔE_f (raw)	-0.423	eV/atom
total moment	0.00	μB per formula unit
uncorrected energy	-40.21	eV per cell

```
data_NaTe2Pd2
_chemical_formula_sum 'Na2 Te4 Pd4'
_cell_length_a 4.404
_cell_length_b 4.404
_cell_length_c 12.725
_cell_angle_alpha 90.00
_cell_angle_beta 90.00
_cell_angle_gamma 90.00
_symmetry_space_group_name_H-M 'I 4/m m m'
_symmetry_Int_Tables_number 139
_symmetry_space_group_name_Hall '-I 4 2'
loop_
_atom_site_label
_atom_site_type_symbol
_atom_site_fract_x
_atom_site_fract_y
_atom_site_fract_z
Na1 Na 0.000 0.000 0.000
Te1 Te 0.000 0.000 0.373
Pd1 Pd 0.000 0.500 0.250
```


(9)
NaTe2Pd2 | GGA-PBE | optimized geometry

Summary:
ΔE_f (raw)	-0.355	eV/atom
total moment	0.00	μB per formula unit
uncorrected energy	-39.52	eV per cell

```
data_NaTe2Pd2
_chemical_formula_sum 'Na2 Te4 Pd4'
_cell_length_a 7.845
_cell_length_b 7.845
_cell_length_c 3.520
_cell_angle_alpha 90.00
_cell_angle_beta 90.00
_cell_angle_gamma 90.00
_symmetry_space_group_name_H-M 'P 4/m b m'
_symmetry_Int_Tables_number 127
_symmetry_space_group_name_Hall '-P 4 2ab'
loop_
_atom_site_label
_atom_site_type_symbol
_atom_site_fract_x
_atom_site_fract_y
_atom_site_fract_z
Na1 Na 0.000 0.000 0.000
Te1 Te 0.171 0.329 0.500
Pd1 Pd 0.128 0.628 0.000
```


(10)
NaTe2Pd5 | GGA-PBE | optimized geometry

Summary:
ΔE_f (raw)	-0.309	eV/atom
total moment	0.00	μB per formula unit
uncorrected energy	-72.08	eV per cell

```
data_NaTe2Pd5
_chemical_formula_sum 'Na2 Te4 Pd10'
_cell_length_a 4.233
_cell_length_b 7.664
_cell_length_c 9.993
_cell_angle_alpha 90.00
_cell_angle_beta 90.00
_cell_angle_gamma 90.00
_symmetry_space_group_name_H-M 'I m m m'
_symmetry_Int_Tables_number 71
_symmetry_space_group_name_Hall '-I 2 2'
loop_
_atom_site_label
_atom_site_type_symbol
_atom_site_fract_x
_atom_site_fract_y
_atom_site_fract_z
Na1 Na 0.000 0.000 0.000
Te1 Te 0.000 0.500 0.258
Pd1 Pd 0.000 0.185 0.354
Pd2 Pd 0.000 0.500 0.000
```


(11)
NaTe2Pd6 | GGA-PBE | optimized geometry

Summary:
ΔE_f (raw)	-0.256	eV/atom
total moment	0.00	μB per formula unit
uncorrected energy	-41.06	eV per cell

```
data_NaTe2Pd6
_chemical_formula_sum 'Na1 Te2 Pd6'
_cell_length_a 4.149
_cell_length_b 4.149
_cell_length_c 10.581
_cell_angle_alpha 90.00
_cell_angle_beta 90.00
_cell_angle_gamma 90.00
_symmetry_space_group_name_H-M 'P 4/m m m'
_symmetry_Int_Tables_number 123
_symmetry_space_group_name_Hall '-P 4 2'
loop_
_atom_site_label
_atom_site_type_symbol
_atom_site_fract_x
_atom_site_fract_y
_atom_site_fract_z
Na1 Na 0.000 0.000 0.000
Te1 Te 0.500 0.500 0.168
Pd1 Pd 0.000 0.000 0.500
Pd2 Pd 0.000 0.500 0.321
Pd3 Pd 0.500 0.500 0.500
```


(12)
NaTe6Pd12 | GGA-PBE | optimized geometry

Summary:
ΔE_f (raw)	-0.210	eV/atom
total moment	0.00	μB per formula unit
uncorrected energy	-259.39	eV per cell

```
data_NaTe6Pd12
_chemical_formula_sum 'Na3 Te18 Pd36'
_cell_length_a 11.1170
_cell_length_b 11.1170
_cell_length_c 11.8586
_cell_angle_alpha 90.00
_cell_angle_beta 90.00
_cell_angle_gamma 120.00
_symmetry_space_group_name_H-M 'R -3 m'
_symmetry_Int_Tables_number 166
_symmetry_space_group_name_Hall '-R 3 2"'
loop_
_atom_site_label
_atom_site_type_symbol
_atom_site_fract_x
_atom_site_fract_y
_atom_site_fract_z
Na1 Na 0.0000 0.0000 0.0000
Te1 Te 0.0297 0.5149 0.3055
Pd1 Pd 0.0000 0.3721 0.5000
Pd2 Pd 0.1034 0.2067 0.4013
```